## BeTcOs2 (GGA-PBEsol)

Data for a relaxed BeTcOs2 crystal.

Properties
- total energy (eV/atom) = -9.84
- total magnetization (μB per formula unit) = 0.000
- energy of formation (eV per atom) = 0.087

POSCAR file:
```
BeTcOs2
1.0
2.710 0.000 0.000
0.000 3.792 0.000
0.000 0.000 5.036
Be Os Tc
1 2 1
Cartesian
1.355 1.896 3.805
0.000 0.000 4.923
1.355 1.896 1.286
0.000 0.000 2.576
```



## LiTiCd2Si (GGA-PBEsol)

Data for a relaxed LiTiCd2Si crystal.

Properties
- total energy (eV/atom) = -3.30
- total magnetization (μB per formula unit) = 0.000
- formation energy (no corrections) (eV per atom) = 0.3896

POSCAR file:
```
LiTiCd2Si
1.0
4.731 0.000 0.000
0.000 4.901 0.000
0.000 0.000 4.901
Si Ti Li Cd
1 1 1 2
Cartesian
0.000 0.000 0.000
2.365 0.000 0.000
2.365 2.451 2.451
0.000 0.000 2.451
0.000 2.451 0.000
```



## KCdPb2 (GGA-PBEsol)

Data for a relaxed KCdPb2 crystal.

Properties
- total energy (eV/atom) = -2.61
- total magnetization (μB per formula unit) = 0.000
- energy of formation (eV per atom) = -0.027

POSCAR file:
```
KCdPb2
1.0
-2.817 -1.506 1.525
-1.276 -1.707 -4.043
4.143 -6.356 1.376
Pb K Cd
2 1 1
Cartesian
0.171 -0.262 0.057
-0.979 -3.245 -0.905
1.031 -6.328 -0.237
1.898 -2.912 0.630
```



## In3Pb (GGA-PBEsol)

Data for a relaxed In3Pb crystal.

Properties
- total energy (eV/atom) = -3.21
- total magnetization (μB per formula unit) = 0.000
- energy of formation (eV per atom) = 0.025

POSCAR file:
```
In3Pb
1.0
3.618 0.000 0.000
0.000 5.503 0.000
-1.809 -2.752 5.338
Pb In
1 3
Cartesian
0.000 2.752 0.000
1.809 2.752 2.760
1.809 0.000 0.000
0.000 0.000 2.578
```



## Mg2ReTc (GGA-PBEsol)

Data for a relaxed Mg2ReTc crystal.

Properties
- relative energy among the computed polymorphs (eV/f.u.) = 1.309
- total energy (eV/atom) = -6.63
- total magnetization (μB per formula unit) = 0.000
- energy of formation (eV per atom) = 0.381

POSCAR file:
```
Mg2ReTc
1.0
2.651 0.000 0.000
0.000 4.475 0.000
0.000 0.000 5.240
Mg Re Tc
2 1 1
Cartesian
0.000 0.000 3.930
0.000 0.000 1.310
1.325 2.237 0.000
1.325 2.237 2.620
```



## ScBeTe2I (GGA-PBEsol)

Data for a relaxed ScBeTe2I crystal.

Properties
- total energy (eV/atom) = -3.63
- total magnetization (μB per formula unit) = 0.001
- formation energy (no corrections) (eV per atom) = 0.2521

POSCAR file:
```
ScBeTe2I
1.0
-5.197 1.798 0.004
-0.309 -0.882 -5.419
-1.778 -5.142 0.938
I Sc Te Be
1 1 2 1
Cartesian
-0.889 -2.571 0.469
0.000 0.000 0.000
-0.154 -0.441 -2.710
-2.599 0.899 0.002
-3.642 -2.113 -2.239
```



## MgAg2Cl (GGA-PBEsol)

Data for a relaxed MgAg2Cl crystal.

Properties
- total energy (eV/atom) = -2.84
- total magnetization (μB per formula unit) = 0.000
- formation energy (no corrections) (eV per atom) = -0.2573

POSCAR file:
```
MgAg2Cl
1.0
3.186 0.005 0.000
-0.026 4.387 0.000
-1.580 -2.196 5.493
Ag Cl Mg
2 1 1
Cartesian
0.790 1.098 2.746
-0.790 -1.098 2.746
-0.013 2.193 0.000
1.593 0.002 0.000
```



## MgTlIn2Tc (GGA-PBEsol)

Data for a relaxed MgTlIn2Tc crystal.

Properties
- total energy (eV/atom) = -3.00
- total magnetization (μB per formula unit) = 3.899
- energy of formation (eV per atom) = 1.316

POSCAR file:
```
MgTlIn2Tc
1.0
5.204 0.000 0.000
0.000 5.210 0.000
0.000 0.000 5.210
Mg Tl Tc In
1 1 1 2
Cartesian
0.000 0.000 0.000
2.602 0.000 0.000
2.602 2.605 2.605
0.000 0.000 2.605
0.000 2.605 0.000
```